# 1
DFT (PBE) results for crystalline K4LiAc3O8 at its relaxed geometry.

Calculated values
DFT total energy = -0.42256 Ry per atom
mass density = 5.2 Mg/m³
symmetry = C2/m
E_form (uncorrected) = -33.69 eV per formula unit
V = 312 Å³ per cell

Cell: 7.5846 7.5846 7.6239 Å, 118.87 118.87 58.53°
Element x y z (fractional)
K 0.0000 0.0000 0.0000
K 0.0000 0.5000 0.0000
K 0.5000 0.0000 0.0000
K 0.5000 0.5000 0.0000
Li 0.0000 0.0000 0.5000
Ac 0.0000 0.5000 0.5000
Ac 0.5000 0.0000 0.5000
Ac 0.5000 0.5000 0.5000
O 0.2399 0.7253 0.6955
O 0.2508 0.2508 0.7112
O 0.2647 0.2647 0.2945
O 0.2747 0.7601 0.3045
O 0.7253 0.2399 0.6955
O 0.7353 0.7353 0.7055
O 0.7492 0.7492 0.2888
O 0.7601 0.2747 0.3045

***

# 2
DFT (PBE) results for crystalline SrNbIn2 at its relaxed geometry.

Calculated values
DFT total energy = -0.27727 Ry per atom
mass density = 5.2 Mg/m³
symmetry = I-42d
V = 260 Å³ per cell
energy of formation = 535 meV per atom

Cell: 10.6559 10.6559 10.6559 Å, 152.35 152.35 39.50°
Element x y z (fractional)
Sr 0.0000 0.0000 0.0000
Sr 0.7500 0.2500 0.5000
Nb 0.2500 0.7500 0.5000
Nb 0.5000 0.5000 0.0000
In 0.2347 0.6250 0.1097
In 0.3750 0.4847 0.6097
In 0.5153 0.1250 0.8903
In 0.8750 0.7653 0.3903

***

# 3
DFT (PBE) results for crystalline ZrNb2Mo at its relaxed geometry.

Calculated values
DFT total energy = -0.72431 Ry per atom
polymorph energy (0 for the lowest one) = 0.25 eV per formula unit
mass density = 8.5 Mg/m³
symmetry = Fm-3m
V = 73 Å³ per cell
energy of formation = 25 meV per atom

Cell: 4.6966 4.6966 4.6966 Å, 60.00 60.00 60.00°
Element x y z (fractional)
Zr 0.0000 0.0000 0.0000
Nb 0.2500 0.2500 0.2500
Nb 0.7500 0.7500 0.7500
Mo 0.5000 0.5000 0.5000

***

# 4
DFT (PBE) results for crystalline CdReSe2 at its relaxed geometry.

Calculated values
DFT total energy = -0.35912 Ry per atom
polymorph energy (0 for the lowest one) = 0.75 eV per formula unit
mass density = 8.5 Mg/m³
symmetry = Immm
E_form (uncorrected) = 0.79 eV per formula unit
V = 89 Å³ per cell

Cell: 6.5906 6.5906 6.5906 Å, 153.52 135.61 52.43°
Element x y z (fractional)
Cd 0.0000 0.0000 0.0000
Re 0.5000 0.5000 0.0000
Se 0.3293 0.8293 0.5000
Se 0.6707 0.1707 0.5000

***

# 5
DFT (PBE) results for crystalline BeSbC2 at its relaxed geometry.

Calculated values
DFT total energy = -0.40870 Ry per atom
polymorph energy (0 for the lowest one) = 0.00 eV per formula unit
mass density = 5.2 Mg/m³
symmetry = I-42d
E_form (uncorrected) = 4.05 eV per formula unit
V = 98 Å³ per cell

Cell: 5.8155 5.8155 5.8155 Å, 134.56 134.56 66.21°
Element x y z (fractional)
Be 0.0000 0.0000 0.0000
Be 0.7500 0.2500 0.5000
Sb 0.2500 0.7500 0.5000
Sb 0.5000 0.5000 0.0000
C 0.0728 0.6250 0.9478
C 0.3750 0.3228 0.4478
C 0.6772 0.1250 0.0522
C 0.8750 0.9272 0.5522

***

# 6
DFT (PBE) results for crystalline Ta2OsPb at its relaxed geometry.

Calculated values
DFT total energy = -0.67945 Ry per atom
mass density = 17.3 Mg/m³
symmetry = I4/mmm
V = 73 Å³ per cell
energy of formation = 416 meV per atom

Cell: 5.1863 5.1863 5.1863 Å, 133.18 133.18 68.37°
Element x y z (fractional)
Ta 0.2500 0.7500 0.5000
Ta 0.7500 0.2500 0.5000
Os 0.0000 0.0000 0.0000
Pb 0.5000 0.5000 0.0000

***

no.,DOS(E_F) (states/eV/atom),M_tot (Bohr magnetons per cell)
1,0.553,2.1
2,0.838,2.7
3,1.320,0.0
4,1.100,0.6
5,0.441,0.0
6,0.954,0.0